# TaSi2Pt

A relaxed structure of TaSi2Pt (GGA-PBE, Alexandria).

Cell: 4.731 4.731 5.340 Å, 110.05 110.05 34.23°
Fractional positions:
Ta (0.000, 0.000, 0.000)
Si (0.233, 0.233, 0.779)
Si (0.767, 0.767, 0.221)
Pt (0.500, 0.500, 0.500)

Properties
Spin magnetization, μB per formula unit: 0.00
Raw formation energy, kJ per mole of atoms: -27.3



# In4Ga3Hg4

A relaxed structure of In4Ga3Hg4 (GGA-PBE, Alexandria).

Cell: 3.232 8.068 10.725 Å, 79.19 83.69 83.31°
Fractional positions:
In (0.055, 0.017, 0.250)
In (0.301, 0.412, 0.160)
In (0.699, 0.588, 0.840)
In (0.945, 0.983, 0.750)
Ga (0.374, 0.330, 0.699)
Ga (0.500, 0.000, 0.500)
Ga (0.626, 0.670, 0.301)
Hg (0.047, 0.796, 0.034)
Hg (0.064, 0.672, 0.552)
Hg (0.936, 0.328, 0.448)
Hg (0.953, 0.204, 0.966)

Properties
Spin magnetization, μB per formula unit: 0.00
Formation energy from the elements, eV per atom: 0.051



# TlSiH6

A relaxed structure of TlSiH6 (GGA-PBE, Alexandria).

Cell: 4.684 4.684 4.684 Å, 67.59 67.59 67.59°
Fractional positions:
Tl (0.000, 0.000, 0.000)
Si (0.500, 0.500, 0.500)
H (0.124, 0.553, 0.553)
H (0.447, 0.447, 0.876)
H (0.447, 0.876, 0.447)
H (0.553, 0.124, 0.553)
H (0.553, 0.553, 0.124)
H (0.876, 0.447, 0.447)

Properties
Spin magnetization, μB per formula unit: 0.00
Energy, eV/atom: -3.160



# CeSm5Sc

A relaxed structure of CeSm5Sc (GGA-PBE, Alexandria).

Cell: 7.726 7.726 7.726 Å, 137.06 112.86 83.07°
Fractional positions:
Ce (0.000, 0.000, 0.000)
Sm (0.000, 0.500, 0.500)
Sm (0.248, 0.248, 0.000)
Sm (0.319, 0.000, 0.319)
Sm (0.681, 0.000, 0.681)
Sm (0.752, 0.752, 0.000)
Sc (0.500, 0.500, 0.000)

Properties
Spin magnetization, μB per formula unit: 0.00
Formation energy from the elements, eV per atom: 0.901



# RbScVBr6

A relaxed structure of RbScVBr6 (GGA-PBE, Alexandria).

Cell: 6.856 6.856 15.767 Å, 90.00 90.00 120.00°
Fractional positions:
Rb (0.000, 0.000, 0.000)
Rb (0.000, 0.000, 0.500)
Sc (0.333, 0.667, 0.250)
Sc (0.667, 0.333, 0.750)
V (0.333, 0.667, 0.750)
V (0.667, 0.333, 0.250)
Br (0.004, 0.369, 0.653)
Br (0.004, 0.635, 0.847)
Br (0.365, 0.369, 0.847)
Br (0.365, 0.996, 0.653)
Br (0.369, 0.004, 0.153)
Br (0.369, 0.365, 0.347)
Br (0.631, 0.635, 0.653)
Br (0.631, 0.996, 0.847)
Br (0.635, 0.004, 0.347)
Br (0.635, 0.631, 0.153)
Br (0.996, 0.365, 0.153)
Br (0.996, 0.631, 0.347)

Properties
Spin magnetization, μB per formula unit: 3.00
Raw formation energy, kJ per mole of atoms: -137.9



# CoHg2Os

A relaxed structure of CoHg2Os (GGA-PBE, Alexandria).

Cell: 9.278 9.278 9.278 Å, 18.06 18.06 18.06°
Fractional positions:
Co (0.000, 0.000, 0.000)
Hg (0.254, 0.254, 0.254)
Hg (0.746, 0.746, 0.746)
Os (0.500, 0.500, 0.500)

Properties
Spin magnetization, μB per formula unit: 1.73
Relative energy among the computed polymorphs, meV/atom: 320
Formation energy from the elements, eV per atom: 0.775



# Pa2GeP3

A relaxed structure of Pa2GeP3 (GGA-PBE, Alexandria).

Cell: 3.887 3.887 7.945 Å, 90.00 90.00 90.00°
Fractional positions:
Pa (0.000, 0.500, 0.209)
Pa (0.500, 0.000, 0.791)
Ge (0.000, 0.000, 0.500)
P (0.000, 0.500, 0.856)
P (0.500, 0.000, 0.144)
P (0.500, 0.500, 0.500)

Properties
Spin magnetization, μB per formula unit: 0.00
Formation energy from the elements, eV per atom: -0.971



# CsSrBi2

A relaxed structure of CsSrBi2 (GGA-PBE, Alexandria).

Cell: 4.573 4.573 8.311 Å, 90.00 90.00 90.00°
Fractional positions:
Cs (0.000, 0.000, 0.000)
Sr (0.000, 0.000, 0.500)
Bi (0.500, 0.500, 0.319)
Bi (0.500, 0.500, 0.681)

Properties
Spin magnetization, μB per formula unit: 0.00
Relative energy among the computed polymorphs, meV/atom: 0
Formation energy from the elements, eV per atom: -0.588



# LiFeAg2I

A relaxed structure of LiFeAg2I (GGA-PBE, Alexandria).

Cell: 4.739 4.739 4.663 Å, 90.00 90.00 90.00°
Fractional positions:
Li (0.000, 0.000, 0.000)
Fe (0.000, 0.000, 0.500)
Ag (0.000, 0.500, 0.000)
Ag (0.500, 0.000, 0.000)
I (0.500, 0.500, 0.500)

Properties
Spin magnetization, μB per formula unit: 2.58
Raw formation energy, kJ per mole of atoms: 75.2



# Pu2MgO7

A relaxed structure of Pu2MgO7 (GGA-PBE, Alexandria).

Cell: 9.802 9.802 9.802 Å, 22.44 22.44 22.44°
Fractional positions:
Pu (0.071, 0.071, 0.071)
Pu (0.929, 0.929, 0.929)
Mg (0.500, 0.500, 0.500)
O (0.000, 0.000, 0.000)
O (0.140, 0.140, 0.140)
O (0.277, 0.277, 0.277)
O (0.426, 0.426, 0.426)
O (0.574, 0.574, 0.574)
O (0.723, 0.723, 0.723)
O (0.860, 0.860, 0.860)

Properties
Spin magnetization, μB per formula unit: 4.00
Raw formation energy, kJ per mole of atoms: -231.1



# Na2BiHPb

A relaxed structure of Na2BiHPb (GGA-PBE, Alexandria).

Cell: 4.914 4.914 4.842 Å, 90.00 90.00 90.00°
Fractional positions:
Na (0.000, 0.500, 0.000)
Na (0.500, 0.000, 0.000)
Bi (0.000, 0.000, 0.500)
H (0.000, 0.000, 0.000)
Pb (0.500, 0.500, 0.500)

Properties
Spin magnetization, μB per formula unit: 0.00
Relative energy among the computed polymorphs, meV/atom: 71



# LaPm7Y4

A relaxed structure of LaPm7Y4 (GGA-PBE, Alexandria).

Cell: 6.343 7.323 9.028 Å, 89.98 76.46 89.96°
Fractional positions:
La (0.000, 0.000, 0.000)
Pm (0.000, 0.500, 0.000)
Pm (0.223, 0.000, 0.335)
Pm (0.279, 0.251, 0.664)
Pm (0.499, 0.253, 0.000)
Pm (0.501, 0.747, 0.000)
Pm (0.721, 0.749, 0.336)
Pm (0.777, 0.000, 0.665)
Y (0.220, 0.500, 0.335)
Y (0.279, 0.747, 0.665)
Y (0.721, 0.253, 0.335)
Y (0.780, 0.500, 0.665)

Properties
Spin magnetization, μB per formula unit: 0.00
Relative energy among the computed polymorphs, meV/atom: 0
Formation energy from the elements, eV per atom: -0.001